! PBE NbTl3Cu2Se6, relaxed; values from VASP
&SYSTEM
  ibrav = 0, nat = 12, ntyp = 4
/
ATOMIC_SPECIES
Nb 92.91 Nb.upf
Tl 204.38 Tl.upf
Cu 63.55 Cu.upf
Se 78.96 Se.upf
CELL_PARAMETERS angstrom
6.545 0.337 -0.059
-2.979 5.837 -0.059
-1.253 -2.170 7.601
ATOMIC_POSITIONS crystal
Nb 0.000 0.000 0.000
Tl 0.155 0.845 0.500
Tl 0.845 0.155 0.500
Tl 0.500 0.500 0.500
Cu 0.326 0.674 0.000
Cu 0.674 0.326 0.000
Se 0.970 0.629 0.796
Se 0.712 0.712 0.156
Se 0.030 0.371 0.204
Se 0.629 0.970 0.796
Se 0.288 0.288 0.844
Se 0.371 0.030 0.204
! - Uncorrected formation energy: -305 meV/atom
! - Calculated density: 7.32 Mg/m³

***

! PBE Nb2Tl2CuSe6, relaxed; values from VASP
&SYSTEM
  ibrav = 0, nat = 11, ntyp = 4
/
ATOMIC_SPECIES
Nb 92.91 Nb.upf
Tl 204.38 Tl.upf
Cu 63.55 Cu.upf
Se 78.96 Se.upf
CELL_PARAMETERS angstrom
-3.433 5.634 -1.065
-2.814 -5.883 1.460
2.918 1.785 7.423
ATOMIC_POSITIONS crystal
Nb 0.315 0.685 0.500
Nb 0.685 0.315 0.500
Tl 0.850 0.150 0.000
Tl 0.150 0.850 0.000
Cu 0.000 0.000 0.500
Se 0.737 0.737 0.666
Se 0.081 0.422 0.703
Se 0.263 0.263 0.334
Se 0.422 0.081 0.703
Se 0.919 0.578 0.297
Se 0.578 0.919 0.297
! - Uncorrected formation energy: -505 meV/atom
! - Calculated density: 6.53 Mg/m³

***

! PBE NbTl2CuSe4, relaxed; values from VASP
&SYSTEM
  ibrav = 0, nat = 8, ntyp = 4
/
ATOMIC_SPECIES
Nb 92.91 Nb.upf
Tl 204.38 Tl.upf
Cu 63.55 Cu.upf
Se 78.96 Se.upf
CELL_PARAMETERS angstrom
7.187 -0.456 -0.699
-3.475 6.307 0.698
-3.475 -1.899 6.055
ATOMIC_POSITIONS crystal
Nb 0.000 0.500 0.500
Tl 0.500 0.750 0.250
Tl 0.000 0.000 0.000
Cu 0.500 0.250 0.750
Se 0.596 0.377 0.471
Se 0.093 0.219 0.623
Se 0.907 0.529 0.125
Se 0.404 0.875 0.781
! - Uncorrected formation energy: -459 meV/atom
! - Calculated density: 5.72 Mg/m³